1.
A plane-wave DFT calculation with PBE was carried out for crystalline YCrC3 at its relaxed geometry.

a b c (Å): 4.3559 4.3559 4.3559
angles (deg): 90.00 90.00 90.00
Space group Pm-3m (No. 221)
Asymmetric unit:
Y  0.0000  0.0000  0.0000
Cr  0.5000  0.5000  0.5000
C  0.0000  0.0000  0.5000

Output
* crystal system: cubic
* DOS(E_F): 5.94 states/eV per cell
* E_tot: -28.0 eV per cell
* calculated volume: 83 Å³/f.u.
* formation energy from the elements: 3151 meV per atom
* distance to the lowest polymorph of the same formula: 2463.7 meV/atom

2.
A plane-wave DFT calculation with PBE was carried out for crystalline BaTcOF2 at its relaxed geometry.

a b c (Å): 4.9207 4.9207 5.0264
angles (deg): 90.00 90.00 90.00
Space group P4/mmm (No. 123)
Asymmetric unit:
Ba  0.0000  0.0000  0.0000
Tc  0.5000  0.5000  0.5000
O  0.0000  0.0000  0.5000
F  0.0000  0.5000  0.0000

Output
* crystal system: tetragonal
* DOS(E_F): 4.26 states/eV per cell
* uncorrected formation energy: -0.88 eV/atom
* E_tot: -25.4 eV per cell
* calculated volume: 122 Å³/f.u.
* distance to the lowest polymorph of the same formula: 1051.7 meV/atom

3.
A plane-wave DFT calculation with PBE was carried out for crystalline Rb2BaTl at its relaxed geometry.

a b c (Å): 5.4834 5.4834 30.0839
angles (deg): 90.00 90.00 90.00
Space group I-42d (No. 122)
Asymmetric unit:
Rb  0.2279  0.2500  0.1250
Ba  0.0000  0.0000  0.5000
Tl  0.0000  0.0000  0.0000

Output
* crystal system: tetragonal
* DOS(E_F): 21.39 states/eV per cell
* E_tot: -23.1 eV per cell
* calculated volume: 226 Å³/f.u.
* formation energy from the elements: 112 meV per atom
* distance to the lowest polymorph of the same formula: 0.0 meV/atom

4.
A plane-wave DFT calculation with PBE was carried out for crystalline CaTbTlPb at its relaxed geometry.

a b c (Å): 7.7410 7.7410 7.7410
angles (deg): 90.00 90.00 90.00
Space group F-43m (No. 216)
Asymmetric unit:
Ca  0.0000  0.0000  0.0000
Tb  0.0000  0.0000  0.5000
Tl  0.2500  0.2500  0.2500
Pb  0.2500  0.2500  0.7500

Output
* crystal system: cubic
* DOS(E_F): 8.33 states/eV per cell
* E_tot: -57.3 eV per cell
* calculated volume: 116 Å³/f.u.
* formation energy from the elements: -406 meV per atom
* distance to the lowest polymorph of the same formula: 22.5 meV/atom

5.
A plane-wave DFT calculation with PBE was carried out for crystalline Ag2PdPt at its relaxed geometry.

a b c (Å): 3.8584 3.8584 19.5001
angles (deg): 90.00 90.00 90.00
Space group I-42d (No. 122)
Asymmetric unit:
Ag  0.2493  0.2500  0.1250
Pd  0.0000  0.0000  0.5000
Pt  0.0000  0.0000  0.0000

Output
* crystal system: tetragonal
* DOS(E_F): 11.17 states/eV per cell
* E_tot: -63.2 eV per cell
* calculated volume: 73 Å³/f.u.
* formation energy from the elements: 287 meV per atom
* distance to the lowest polymorph of the same formula: 319.1 meV/atom

6.
A plane-wave DFT calculation with PBE was carried out for crystalline Fe2Cu2Ge at its relaxed geometry.

a b c (Å): 5.9131 5.9131 3.7659
angles (deg): 90.00 90.00 90.00
Space group P4/mbm (No. 127)
Asymmetric unit:
Fe  0.1327  0.3673  0.0000
Cu  0.1607  0.6607  0.5000
Ge  0.0000  0.0000  0.0000

Output
* crystal system: tetragonal
* DOS(E_F): 8.18 states/eV per cell
* E_tot: -57.1 eV per cell
* calculated volume: 66 Å³/f.u.
* formation energy from the elements: 238 meV per atom

7.
A plane-wave DFT calculation with PBE was carried out for crystalline RuPbIO6 at its relaxed geometry.

a b c (Å): 5.3806 5.3806 5.3577
angles (deg): 90.00 90.00 120.00
Space group P312 (No. 149)
Asymmetric unit:
Ru  0.0000  0.0000  0.0000
Pb  0.6667  0.3333  0.5000
I  0.3333  0.6667  0.0000
O  0.0374  0.3292  0.2046

Output
* crystal system: trigonal
* DOS(E_F): 4.45 states/eV per cell
* uncorrected formation energy: -0.71 eV/atom
* E_tot: -50.6 eV per cell
* calculated volume: 134 Å³/f.u.

8.
A plane-wave DFT calculation with PBE was carried out for crystalline PrTmHgPt at its relaxed geometry.

a b c (Å): 7.3090 7.3090 7.3090
angles (deg): 90.00 90.00 90.00
Space group F-43m (No. 216)
Asymmetric unit:
Pr  0.0000  0.0000  0.0000
Tm  0.0000  0.0000  0.5000
Hg  0.2500  0.2500  0.7500
Pt  0.2500  0.2500  0.2500

Output
* crystal system: cubic
* DOS(E_F): 13.10 states/eV per cell
* E_tot: -74.3 eV per cell
* calculated volume: 98 Å³/f.u.
* formation energy from the elements: -745 meV per atom

9.
A plane-wave DFT calculation with PBE was carried out for crystalline KNa2NpS4 at its relaxed geometry.

a b c (Å): 5.5708 5.5708 13.3006
angles (deg): 90.00 90.00 90.00
Space group I-4m2 (No. 119)
Asymmetric unit:
K  0.0000  0.0000  0.0000
Na  0.0000  0.0000  0.5000
Na  0.0000  0.5000  0.2500
Np  0.0000  0.5000  0.7500
S  0.0000  0.0000  0.2520
S  0.0000  0.5000  0.5632

Output
* crystal system: tetragonal
* DOS(E_F): 11.78 states/eV per cell
* uncorrected formation energy: -1.14 eV/atom
* E_tot: -84.7 eV per cell
* calculated volume: 206 Å³/f.u.

10.
A plane-wave DFT calculation with PBE was carried out for crystalline HgOs2Pt at its relaxed geometry.

a b c (Å): 3.9276 3.9276 4.1790
angles (deg): 90.00 90.00 90.00
Space group P4/mmm (No. 123)
Asymmetric unit:
Hg  0.0000  0.0000  0.0000
Os  0.0000  0.5000  0.5000
Pt  0.5000  0.5000  0.0000

Output
* crystal system: tetragonal
* DOS(E_F): 5.18 states/eV per cell
* E_tot: -25.5 eV per cell
* calculated volume: 64 Å³/f.u.
* formation energy from the elements: 818 meV per atom

11.
A plane-wave DFT calculation with PBE was carried out for crystalline BaSr2Br at its relaxed geometry.

a b c (Å): 4.3107 4.3107 35.3833
angles (deg): 90.00 90.00 120.00
Space group R3m (No. 160, hexagonal axes)
Asymmetric unit:
Ba  0.0000  0.0000  0.0000
Sr  0.0000  0.0000  0.5324
Sr  0.0000  0.0000  0.7685
Br  0.0000  0.0000  0.2627

Output
* crystal system: trigonal
* DOS(E_F): 12.78 states/eV per cell
* uncorrected formation energy: -0.74 eV/atom
* E_tot: -29.7 eV per cell
* calculated volume: 190 Å³/f.u.
* distance to the lowest polymorph of the same formula: 0.0 meV/atom

12.
A plane-wave DFT calculation with PBE was carried out for crystalline Sm2TmPt at its relaxed geometry.

a b c (Å): 7.0773 9.8211 6.5275
angles (deg): 90.00 90.00 90.00
Space group Pnma (No. 62)
Asymmetric unit:
Sm  0.1838  0.0605  0.1789
Tm  0.0313  0.2500  0.6392
Pt  0.1119  0.7500  0.9569

Output
* crystal system: orthorhombic
* DOS(E_F): 15.35 states/eV per cell
* E_tot: -90.6 eV per cell
* calculated volume: 113 Å³/f.u.
* formation energy from the elements: -678 meV per atom
* distance to the lowest polymorph of the same formula: 0.0 meV/atom